# InCuSi2, single point on PBEsol structure, DFT SCAN
# * formation energy from raw total energies: 0.435 eV per atom
# * electronic total energy: -16.72 eV per atom
# * crystal system: tetragonal
data_InCuSi2
_chemical_formula_sum 'In1 Cu1 Si2'
_cell_length_a 2.799
_cell_length_b 2.799
_cell_length_c 8.599
_cell_angle_alpha 90.00
_cell_angle_beta 90.00
_cell_angle_gamma 90.00
_symmetry_space_group_name_H-M 'P 4/m m m'
_symmetry_Int_Tables_number 123
_symmetry_space_group_name_Hall '-P 4 2'
loop_
_atom_site_label
_atom_site_type_symbol
_atom_site_fract_x
_atom_site_fract_y
_atom_site_fract_z
_atom_site_occupancy
In1 In 0.000 0.000 0.000 1
Cu1 Cu 0.000 0.000 0.500 1
Si1 Si 0.500 0.500 0.310 1